{
  "formula": "Ac2PuZnO6",
  "functional": "PBE",
  "state": "relaxed",
  "lattice": [[5.881, 0.000, 0.000], [0.000, 6.186, 0.000], [0.000, 0.000, 8.442]],
  "species": ["Ac", "Ac", "Ac", "Ac", "Pu", "Pu", "Zn", "Zn", "O", "O", "O", "O", "O", "O", "O", "O", "O", "O", "O", "O"],
  "frac_coords": [[0.500, 0.797, 0.224], [0.000, 0.203, 0.724], [0.500, 0.797, 0.776], [0.000, 0.203, 0.276], [0.000, 0.719, 0.500], [0.500, 0.281, 0.000], [0.500, 0.241, 0.500], [0.000, 0.759, 0.000], [0.500, 0.199, 0.255], [0.500, 0.199, 0.745], [0.000, 0.801, 0.245], [0.000, 0.801, 0.755], [0.244, 0.988, 0.500], [0.756, 0.988, 0.500], [0.235, 0.451, 0.500], [0.765, 0.451, 0.500], [0.735, 0.549, 0.000], [0.265, 0.549, 0.000], [0.256, 0.012, 0.000], [0.744, 0.012, 0.000]],
  "magnetic_moment_mub_per_cell": 8.000,
  "sg": "Pmmn, No. 59",
  "n_ef_per_ev_cell": 9.75,
  "raw_formation_energy_mev_per_atom": -2682.8
}